No. 1
The following is a GGA-PBE calculation of a relaxed MgSnAu3 crystal, from Alexandria via LeMat-Bulk.

Structure (POSCAR):
```
MgSnAu3
1.0
-0.8852 -3.0855 -2.8879
2.4866 -3.9010 3.4057
-7.3188 -1.4004 3.7396
Mg Sn Au
2 2 6
direct
0.7500 0.2500 0.0643 Mg
0.2500 0.7500 0.9357 Mg
0.7500 0.2500 0.4414 Sn
0.2500 0.7500 0.5586 Sn
0.2500 0.4906 0.2586 Au
0.7500 0.5094 0.7414 Au
0.2500 0.0094 0.2586 Au
0.7500 0.9906 0.7414 Au
0.2500 0.2500 0.8643 Au
0.7500 0.7500 0.1357 Au
```

Output
As for the symmetry: Pmmn. As for the energy of formation: -147 kJ/mol of formula units. The total magnetization comes out at 0.000 μB/f.u. As for the total energy: -33.9 eV per cell.

***

No. 2
The following is a GGA-PBE calculation of a relaxed Mg5SnAu6 crystal, from Alexandria via LeMat-Bulk.

Structure (POSCAR):
```
Mg5SnAu6
1.0
4.4999 -0.0267 1.4996
0.0359 6.6265 0.0120
-0.0037 -0.0133 7.5122
Mg Au Sn
5 6 1
direct
0.6673 0.5000 0.6654 Mg
0.3341 0.0000 0.3318 Mg
0.0000 0.5000 0.0000 Mg
0.6659 0.0000 0.6682 Mg
0.3327 0.5000 0.3346 Mg
0.8270 0.7466 0.3460 Au
0.8270 0.2534 0.3460 Au
0.5000 0.2668 0.0000 Au
0.5000 0.7332 0.0000 Au
0.1730 0.7466 0.6540 Au
0.1730 0.2534 0.6540 Au
0.0000 0.0000 0.0000 Sn
```

Output
As for the symmetry: Cmmm. As for the energy of formation: -599 kJ/mol of formula units. The total magnetization comes out at 0.000 μB/f.u. As for the total energy: -37.8 eV per cell.